{
  "formula": "TePdN",
  "functional": "PBE",
  "state": "optimized geometry",
  "raw_formation_energy_mev_per_atom": -175,
  "mass_density_g_cm3": 5.21,
  "spacegroup": "P2_1/c (14)",
  "total_energy_ev_per_cell": -68.745,
  "crystal_system": "monoclinic",
  "lattice_angstrom": [[12.613, 0.000, 0.000], [0.000, 3.688, 0.000], [-0.172, 0.000, 6.794]],
  "species": ["Te", "Te", "Te", "Te", "Pd", "Pd", "Pd", "Pd", "N", "N", "N", "N"],
  "fractional_positions": [[0.159, 0.250, 0.132], [0.159, 0.250, 0.632], [0.841, 0.750, 0.368], [0.841, 0.750, 0.868], [0.063, 0.750, 0.378], [0.063, 0.750, 0.878], [0.937, 0.250, 0.122], [0.937, 0.250, 0.622], [0.466, 0.550, 0.453], [0.466, 0.950, 0.953], [0.534, 0.050, 0.047], [0.534, 0.450, 0.547]]
}

---

{
  "formula": "TiTe2PdN",
  "functional": "PBE",
  "state": "optimized geometry",
  "raw_formation_energy_mev_per_atom": 582,
  "mass_density_g_cm3": 6.31,
  "spacegroup": "P4/mmm (123)",
  "total_energy_ev_per_cell": -24.786,
  "crystal_system": "tetragonal",
  "lattice_angstrom": [[5.479, 0.000, 0.000], [0.000, 5.479, 0.000], [0.000, 0.000, 3.711]],
  "species": ["Ti", "Te", "Te", "Pd", "N"],
  "fractional_positions": [[0.000, 0.000, 0.000], [0.000, 0.500, 0.500], [0.500, 0.000, 0.500], [0.500, 0.500, 0.500], [0.500, 0.500, 0.000]]
}

---

{
  "formula": "TiTe2PdN",
  "functional": "PBE",
  "state": "optimized geometry",
  "raw_formation_energy_mev_per_atom": 106,
  "mass_density_g_cm3": 6.40,
  "spacegroup": "P4/mmm (123)",
  "total_energy_ev_per_cell": -27.169,
  "crystal_system": "tetragonal",
  "lattice_angstrom": [[5.485, 0.000, 0.000], [0.000, 5.485, 0.000], [0.000, 0.000, 3.652]],
  "species": ["Ti", "Te", "Te", "Pd", "N"],
  "fractional_positions": [[0.000, 0.000, 0.000], [0.000, 0.500, 0.000], [0.500, 0.000, 0.000], [0.500, 0.500, 0.500], [0.000, 0.000, 0.500]]
}

---

{
  "formula": "TlTe2PdN",
  "functional": "PBE",
  "state": "optimized geometry",
  "raw_formation_energy_mev_per_atom": 1382,
  "mass_density_g_cm3": 6.81,
  "spacegroup": "P4/mmm (123)",
  "total_energy_ev_per_cell": -15.260,
  "crystal_system": "tetragonal",
  "lattice_angstrom": [[5.887, 0.000, 0.000], [0.000, 5.887, 0.000], [0.000, 0.000, 4.083]],
  "species": ["Tl", "Te", "Te", "Pd", "N"],
  "fractional_positions": [[0.000, 0.000, 0.000], [0.000, 0.500, 0.000], [0.500, 0.000, 0.000], [0.500, 0.500, 0.500], [0.000, 0.000, 0.500]]
}